This record from Alexandria describes a relaxed Gd2PaPb crystal. The functional is PBE.

The energy above the most stable polymorph in this dataset comes out at 0 meV per atom. The crystal system is tetragonal.

The structure belongs to space group P4/mmm (No. 123); the cell edges are 3.422, 3.422 and 9.757 Å and the angles 90.00°, 90.00° and 90.00°. The asymmetric unit holds Gd at (0.000, 0.000, 0.250), Pa at (0.500, 0.500, 0.000) and Pb at (0.500, 0.500, 0.500).

This record from Alexandria describes a relaxed GdPa2Pb crystal. The functional is PBE.

The crystal system is trigonal.

The structure belongs to space group R-3m (No. 166, hexagonal axes); the cell edges are 3.2750, 3.2750 and 36.8986 Å and the angles 90.00°, 90.00° and 120.00°. The asymmetric unit holds Gd at (0.0000, 0.0000, 0.0000), Pa at (0.0000, 0.0000, 0.4118) and Pb at (0.0000, 0.0000, 0.5000).

This record from Alexandria describes a relaxed GdPaPb crystal. The functional is PBE.

The energy above the most stable polymorph in this dataset comes out at 0 meV per atom. The crystal system is tetragonal.

The structure belongs to space group I4mm (No. 107); the cell edges are 4.080, 4.080 and 10.233 Å and the angles 90.00°, 90.00° and 90.00°. The asymmetric unit holds Gd at (0.000, 0.000, 0.000), Pa at (0.000, 0.000, 0.309) and Pb at (0.000, 0.000, 0.652).

This record from Alexandria describes a relaxed GdPaPb crystal. The functional is PBE.

The energy above the most stable polymorph in this dataset comes out at 164 meV per atom. The crystal system is hexagonal.

The structure belongs to space group P-6m2 (No. 187); the cell edges are 5.4214, 5.4214 and 3.2002 Å and the angles 90.00°, 90.00° and 120.00°. The asymmetric unit holds Gd at (0.0000, 0.0000, 0.0000), Pa at (0.3333, 0.6667, 0.0000) and Pb at (0.6667, 0.3333, 0.5000).

This record from Alexandria describes a relaxed Gd2PaPb crystal. The functional is PBE.

The energy above the most stable polymorph in this dataset comes out at 27 meV per atom. The crystal system is tetragonal.

The structure belongs to space group P4/mmm (No. 123); the cell edges are 4.910, 4.910 and 4.588 Å and the angles 90.00°, 90.00° and 90.00°. The asymmetric unit holds Gd at (0.000, 0.500, 0.000), Pa at (0.000, 0.000, 0.500) and Pb at (0.500, 0.500, 0.500).

This record from Alexandria describes a relaxed GdPaPb2 crystal. The functional is PBE.

The energy above the most stable polymorph in this dataset comes out at 91 meV per atom. The crystal system is cubic.

The structure belongs to space group Fm-3m (No. 225); the cell edges are 7.695, 7.695 and 7.695 Å and the angles 90.00°, 90.00° and 90.00°. The asymmetric unit holds Gd at (0.000, 0.000, 0.000), Pa at (0.000, 0.000, 0.500) and Pb at (0.250, 0.250, 0.250).

This record from Alexandria describes a relaxed GdPaPb2 crystal. The functional is PBE.

The energy above the most stable polymorph in this dataset comes out at 0 meV per atom. The crystal system is tetragonal.

The structure belongs to space group P4/mmm (No. 123); the cell edges are 3.487, 3.487 and 9.144 Å and the angles 90.00°, 90.00° and 90.00°. The asymmetric unit holds Gd at (0.000, 0.000, 0.000), Pa at (0.000, 0.000, 0.500) and Pb at (0.500, 0.500, 0.250).

This record from Alexandria describes a relaxed Gd2PaPb crystal. The functional is PBE.

The energy above the most stable polymorph in this dataset comes out at 197 meV per atom. The crystal system is trigonal.

The structure belongs to space group R-3m (No. 166, hexagonal axes); the cell edges are 3.4490, 3.4490 and 35.6864 Å and the angles 90.00°, 90.00° and 120.00°. The asymmetric unit holds Gd at (0.0000, 0.0000, 0.0909), Pa at (0.0000, 0.0000, 0.5000) and Pb at (0.0000, 0.0000, 0.0000).

Q: Which energy of formation from the pure elements values were calculated for the entries above? A: -0.30, 1.38, 0.30, 0.79, -0.19, -0.36, -0.73, 0.49, in eV/f.u..
Q: Which N(E_F) values were calculated for the entries above? A: 1.69, 2.19, 1.86, 1.88, 1.73, 1.62, 1.55, 1.34, in states/eV per atom.
Q: Which DFT total energy values were calculated for the entries above? A: -41.7, -106.2, -54.0, -26.5, -41.6, -125.4, -31.7, -122.6, in eV for the cell shown.